# 1
HgPdNO2 | Alexandria | PBEsol | relaxed; size of the total moment = 0.65 μB per atom; space group = P4/mmm (123); energy = -18.00 eV per formula unit; formation energy without anion corrections = 1.510 eV/atom
1.0
-0.3291 2.1831 -3.4661
-3.6129 1.5674 1.3302
2.0287 3.1537 1.7937
O Hg Pd N
2 1 1 1
Direct
0.0000 0.0000 0.5000 O
0.0000 0.5000 0.0000 O
0.0000 0.0000 0.0000 Hg
0.5000 0.5000 0.5000 Pd
0.5000 0.0000 0.0000 N



# 2
NiIr | Alexandria | PBEsol | relaxed; size of the total moment = 0.00 μB per atom; space group = Cm (8); energy = -15.89 eV per formula unit; energy of formation from the pure elements = 0.05 eV/atom
1.0
2.6641 0.0000 0.0000
-1.3320 4.6960 -0.0124
0.0000 -1.6191 5.9441
Ir Ni
3 3
Direct
0.0021 0.0042 0.0024 Ir
0.3862 0.7725 0.2776 Ir
0.3330 0.6660 0.6667 Ir
0.6669 0.3339 0.3347 Ni
0.0568 0.1136 0.6110 Ni
0.7216 0.4432 0.9410 Ni



# 3
Ca2TlHg2 | Alexandria | PBEsol | relaxed; size of the total moment = 0.00 μB per atom; space group = P4/mbm (127); energy = -9.98 eV per formula unit; energy of formation from the pure elements = -0.39 eV/atom
1.0
3.7089 0.0000 0.0000
0.0000 8.5796 0.0000
0.0000 0.0000 8.5796
Tl Ca Hg
2 4 4
Direct
0.0000 0.0000 0.0000 Tl
0.0000 0.5000 0.5000 Tl
0.0000 0.3459 0.8459 Ca
0.0000 0.8459 0.6541 Ca
0.0000 0.6541 0.1541 Ca
0.0000 0.1541 0.3459 Ca
0.5000 0.1402 0.6402 Hg
0.5000 0.6402 0.8598 Hg
0.5000 0.8598 0.3598 Hg
0.5000 0.3598 0.1402 Hg



# 4
La2RePb | Alexandria | PBEsol | relaxed; size of the total moment = 0.00 μB per atom; space group = Immm (71); energy = -27.33 eV per formula unit; energy of formation from the pure elements = 0.17 eV/atom
1.0
4.3199 0.0000 0.0000
0.0000 5.3479 0.0000
-2.1599 -2.6740 4.5153
La Pb Re
2 1 1
Direct
0.7084 0.7084 0.4167 La
0.2916 0.2916 0.5833 La
0.5000 0.0000 0.0000 Pb
0.0000 0.5000 0.0000 Re



# 5
CuSbSe2 | Alexandria | PBEsol | relaxed; size of the total moment = 0.00 μB per atom; space group = C2/m (12); energy = -17.11 eV per formula unit; formation energy without anion corrections = -0.130 eV/atom
1.0
-0.8620 -3.7991 0.3601
2.7287 -2.5169 1.2299
-1.1194 -1.1539 6.3993
Sb Se Cu
1 2 1
Direct
0.5000 0.0000 0.0000 Sb
0.2615 0.7644 0.7126 Se
0.7385 0.2356 0.2874 Se
0.0000 0.5000 0.5000 Cu



# 6
Ir2Rh | Alexandria | PBEsol | relaxed; size of the total moment = 0.00 μB per atom; space group = Cm (8); energy = -27.66 eV per formula unit; energy of formation from the pure elements = 0.04 eV/atom
1.0
-0.4849 1.7423 -2.0198
-4.2356 0.1092 2.9305
3.9394 4.2586 2.7276
Ir Rh
4 2
Direct
0.9982 0.9964 0.9997 Ir
0.3896 0.7791 0.2781 Ir
0.6680 0.3360 0.3328 Ir
0.3337 0.6675 0.6672 Ir
0.0550 0.1100 0.6108 Rh
0.7222 0.4443 0.9448 Rh



# 7
Li2Tl | Alexandria | PBEsol | relaxed; size of the total moment = 0.00 μB per atom; space group = P-3m1 (164); energy = -7.29 eV per formula unit; energy of formation from the pure elements = -0.24 eV/atom
1.0
3.0686 0.0000 0.0000
0.0000 4.6105 0.0000
0.0000 -2.3053 3.9928
Tl Li
1 2
Direct
0.0000 0.0000 0.0000 Tl
0.5993 0.3333 0.6667 Li
0.4007 0.6667 0.3333 Li



# 8
MgZr2InIr | Alexandria | PBEsol | relaxed; size of the total moment = 0.00 μB per atom; space group = P4/mmm (123); energy = -27.27 eV per formula unit; energy of formation from the pure elements = 1.09 eV/atom
1.0
4.8289 0.0000 0.0000
0.0000 5.1819 0.0000
0.0000 0.0000 5.1819
Mg Ir Zr In
1 1 2 1
Direct
0.5000 0.5000 0.5000 Mg
0.5000 0.0000 0.0000 Ir
0.0000 0.0000 0.5000 Zr
0.0000 0.5000 0.0000 Zr
0.0000 0.0000 0.0000 In



# 9
ZrHgIr3 | Alexandria | PBEsol | relaxed; size of the total moment = 0.00 μB per atom; space group = Pm-3m (221); energy = -30.92 eV per formula unit; energy of formation from the pure elements = 1.64 eV/atom
1.0
-0.0689 -3.8074 -2.8900
2.2992 -2.5604 3.3184
-4.1908 -1.3422 1.8680
Ir Hg Zr
3 1 1
Direct
0.0000 0.5000 0.0000 Ir
0.0000 0.0000 0.5000 Ir
0.5000 0.0000 0.0000 Ir
0.5000 0.5000 0.5000 Hg
0.0000 0.0000 0.0000 Zr



# 10
TaIr3Cl | Alexandria | PBEsol | relaxed; size of the total moment = 0.00 μB per atom; space group = Pm-3m (221); energy = -36.87 eV per formula unit; formation energy without anion corrections = 1.432 eV/atom
1.0
-0.6518 -2.6078 3.4307
4.2258 0.2930 1.0256
-0.8444 3.4797 2.4847
Cl Ir Ta
1 3 1
Direct
0.0000 0.0000 0.0000 Cl
0.0000 0.5000 0.0000 Ir
0.0000 0.0000 0.5000 Ir
0.5000 0.0000 0.0000 Ir
0.5000 0.5000 0.5000 Ta



# 11
CaSb10S6O10 | Alexandria | PBEsol | relaxed; size of the total moment = 0.00 μB per atom; space group = C2/c (15); energy = -156.13 eV per formula unit; formation energy without anion corrections = -1.097 eV/atom
1.0
5.5697 0.0000 0.0000
2.7849 12.8294 -0.0927
2.7849 4.7745 14.6928
Ca Sb S O
2 20 12 20
Direct
0.4621 0.7500 0.2500 Ca
0.5379 0.2500 0.7500 Ca
0.0535 0.8177 0.0831 Sb
0.9543 0.6823 0.4169 Sb
0.9465 0.1823 0.9169 Sb
0.0457 0.3177 0.5831 Sb
0.3706 0.0256 0.0923 Sb
0.4885 0.4744 0.4077 Sb
0.6294 0.9744 0.9077 Sb
0.5115 0.5256 0.5923 Sb
0.0107 0.5606 0.2404 Sb
0.8117 0.9394 0.2596 Sb
0.9893 0.4394 0.7596 Sb
0.1883 0.0606 0.7404 Sb
0.2268 0.8808 0.4591 Sb
0.5667 0.6192 0.0409 Sb
0.7732 0.1192 0.5409 Sb
0.4333 0.3808 0.9591 Sb
0.9063 0.3217 0.1528 Sb
0.3808 0.1783 0.3472 Sb
0.0937 0.6783 0.8472 Sb
0.6192 0.8217 0.6528 Sb
0.1880 0.5610 0.0240 S
0.7729 0.9390 0.4760 S
0.8120 0.4390 0.9760 S
0.2271 0.0610 0.5240 S
0.2930 0.0228 0.3090 S
0.6249 0.4772 0.1910 S
0.7070 0.9772 0.6910 S
0.3751 0.5228 0.8090 S
0.9644 0.2870 0.3299 S
0.5813 0.2130 0.1701 S
0.0356 0.7130 0.6701 S
0.4187 0.7870 0.8299 S
0.3082 0.5719 0.4833 O
0.3634 0.9281 0.0167 O
0.6918 0.4281 0.5167 O
0.6366 0.0719 0.9833 O
0.1699 0.7982 0.3731 O
0.3412 0.7018 0.1269 O
0.8301 0.2018 0.6269 O
0.6588 0.2982 0.8731 O
0.7133 0.5792 0.3371 O
0.6296 0.9208 0.1629 O
0.2867 0.4208 0.6629 O
0.3704 0.0792 0.8371 O
0.8471 0.7063 0.1703 O
0.7236 0.7937 0.3297 O
0.1529 0.2937 0.8297 O
0.2764 0.2063 0.6703 O
0.1158 0.8829 0.1769 O
0.1756 0.6171 0.3231 O
0.8842 0.1171 0.8231 O
0.8244 0.3829 0.6769 O



# 12
CoNi3Pt | Alexandria | PBEsol | relaxed; size of the total moment = 1.07 μB per atom; space group = Pm-3m (221); energy = -24.71 eV per formula unit; energy of formation from the pure elements = 1.69 eV/atom
1.0
-4.1389 0.2670 1.6894
-0.5475 -4.3975 -0.6465
1.6203 -0.8041 4.0968
Ni Co Pt
3 1 1
Direct
0.0000 0.5000 0.0000 Ni
0.0000 0.0000 0.5000 Ni
0.5000 0.0000 0.0000 Ni
0.5000 0.5000 0.5000 Co
0.0000 0.0000 0.0000 Pt



# 13
AlIn2W | Alexandria | PBEsol | relaxed; size of the total moment = 0.00 μB per atom; space group = Imm2 (44); energy = -22.32 eV per formula unit; energy of formation from the pure elements = 0.39 eV/atom
1.0
-0.1211 0.4469 -3.6981
4.3326 -0.5895 -0.2131
-2.7232 -4.2840 1.4495
Al W In
1 1 2
Direct
0.2386 0.7386 0.4772 Al
0.5123 0.5123 0.0246 W
0.9947 0.9947 0.9894 In
0.7544 0.2544 0.5088 In



# 14
GdCuS2 | Alexandria | PBEsol | relaxed; size of the total moment = 1.75 μB per atom; space group = P2_1/c (14); energy = -33.37 eV per formula unit; formation energy without anion corrections = -1.455 eV/atom
1.0
-3.9375 -1.7884 -4.5596
-1.3602 -4.9322 4.2754
-5.0545 3.8639 2.8494
Gd Cu S
4 4 8
Direct
0.1916 0.8017 0.0497 Gd
0.8084 0.6983 0.5497 Gd
0.8084 0.1983 0.9503 Gd
0.1916 0.3017 0.4503 Gd
0.5748 0.5506 0.1628 Cu
0.4252 0.9494 0.6628 Cu
0.4252 0.4494 0.8372 Cu
0.5748 0.0506 0.3372 Cu
0.5950 0.2794 0.6110 S
0.4050 0.2206 0.1110 S
0.4050 0.7206 0.3890 S
0.5950 0.7794 0.8890 S
0.9191 0.5009 0.2256 S
0.0809 0.9991 0.7256 S
0.0809 0.4991 0.7744 S
0.9191 0.0009 0.2745 S



# 15
Fe2OsRh | Alexandria | PBEsol | relaxed; size of the total moment = 1.44 μB per atom; space group = C2/m (12); energy = -37.20 eV per formula unit; energy of formation from the pure elements = 0.27 eV/atom
1.0
2.5687 -0.0610 0.0000
-0.2533 4.7283 0.0000
-1.1577 -2.3337 4.2356
Fe Os Rh
2 1 1
Direct
0.0000 0.0000 0.5000 Fe
0.5000 0.5000 0.5000 Fe
0.5000 0.0000 0.0000 Os
0.0000 0.5000 0.0000 Rh



# 16
SrInSeBr2 | Alexandria | PBEsol | relaxed; size of the total moment = 0.20 μB per atom; space group = P4/mmm (123); energy = -16.53 eV per formula unit; formation energy without anion corrections = -0.823 eV/atom
1.0
-3.7540 -4.1388 1.4469
1.1880 -2.7937 -4.9091
4.3082 -2.9553 2.7244
Sr Se Br In
1 1 2 1
Direct
0.0000 0.0000 0.0000 Sr
0.0000 0.0000 0.5000 Se
0.0000 0.5000 0.0000 Br
0.5000 0.0000 0.0000 Br
0.5000 0.5000 0.5000 In



# 17
CaAgSe2 | Alexandria | PBEsol | relaxed; size of the total moment = 0.00 μB per atom; space group = I-42d (122); energy = -16.49 eV per formula unit; formation energy without anion corrections = -0.835 eV/atom
1.0
-1.3330 -4.8866 -3.5445
5.8109 1.5560 -1.4257
-1.1276 -1.7973 5.8067
Ca Se Ag
2 4 2
Direct
0.0000 0.5000 0.5000 Ca
0.5000 0.2500 0.7500 Ca
0.0291 0.6541 0.1250 Se
0.9709 0.0959 0.6250 Se
0.4709 0.3750 0.3459 Se
0.5291 0.8750 0.9041 Se
0.0000 0.0000 0.0000 Ag
0.5000 0.7500 0.2500 Ag



# 18
YFeSe2 | Alexandria | PBEsol | relaxed; size of the total moment = 0.75 μB per atom; space group = Imm2 (44); energy = -26.98 eV per formula unit; formation energy without anion corrections = -0.873 eV/atom
1.0
-2.0337 -1.2478 2.6255
-0.3500 -3.1766 -1.7808
6.1470 0.0822 2.4035
Fe Se Y
1 2 1
Direct
0.2890 0.7890 0.5781 Fe
0.9462 0.9462 0.8924 Se
0.7189 0.2189 0.4378 Se
0.5458 0.5458 0.0917 Y



# 19
TaFeO3 | Alexandria | PBEsol | relaxed; size of the total moment = 0.66 μB per atom; space group = Pm-3m (221); energy = -44.98 eV per formula unit; formation energy without anion corrections = -1.543 eV/atom
1.0
-0.6301 0.7530 -3.8104
2.0095 -3.2402 -0.9726
-3.3239 -2.1017 0.1343
Fe O Ta
1 3 1
Direct
0.5000 0.5000 0.5000 Fe
0.0000 0.5000 0.0000 O
0.0000 0.0000 0.5000 O
0.5000 0.0000 0.0000 O
0.0000 0.0000 0.0000 Ta



# 20
ScHg2 | Alexandria | PBEsol | relaxed; size of the total moment = 0.00 μB per atom; space group = Cmcm (63); energy = -8.97 eV per formula unit; energy of formation from the pure elements = -0.41 eV/atom
1.0
3.5442 0.0000 0.0000
0.0000 4.9632 0.0000
-1.7721 0.0000 7.0967
Sc Hg
2 4
Direct
0.8937 0.2500 0.7874 Sc
0.1063 0.7500 0.2126 Sc
0.2286 0.2500 0.4571 Hg
0.4401 0.7500 0.8802 Hg
0.5599 0.2500 0.1198 Hg
0.7714 0.7500 0.5429 Hg



# 21
KMg2Cl | Alexandria | PBEsol | relaxed; size of the total moment = 0.00 μB per atom; space group = Pmmm (47); energy = -8.60 eV per formula unit; formation energy without anion corrections = -0.507 eV/atom
1.0
-1.4875 2.5704 -2.5184
0.5431 -3.0509 -3.4347
-6.2900 -2.4673 1.1969
Cl K Mg
1 1 2
Direct
0.5000 0.0000 0.5000 Cl
0.0000 0.5000 0.5000 K
0.0000 0.0000 0.0000 Mg
0.5000 0.5000 0.0000 Mg



# 22
NiHgS2 | Alexandria | PBEsol | relaxed; size of the total moment = 0.00 μB per atom; space group = I-42d (122); energy = -16.34 eV per formula unit; formation energy without anion corrections = -0.213 eV/atom
1.0
-2.4906 -4.9517 -0.5069
4.6832 -2.5232 1.6372
-2.6437 4.0183 4.2938
Ni S Hg
2 4 2
Direct
0.7500 0.2500 0.5000 Ni
0.5000 0.5000 0.0000 Ni
0.4422 0.8750 0.2500 S
0.8078 0.3750 0.2500 S
0.1250 0.1922 0.7500 S
0.6250 0.5578 0.7500 S
0.2500 0.7500 0.5000 Hg
0.0000 0.0000 0.0000 Hg



# 23
Sr3NCl | Alexandria | PBEsol | relaxed; size of the total moment = 0.00 μB per atom; space group = Pm-3m (221); energy = -14.63 eV per formula unit; formation energy without anion corrections = 0.286 eV/atom
1.0
-5.1119 -1.0654 1.4283
-1.0859 -1.5779 -5.0634
1.4128 -5.0677 1.2763
Sr N Cl
3 1 1
Direct
0.0000 0.5000 0.0000 Sr
0.0000 0.0000 0.5000 Sr
0.5000 0.0000 0.0000 Sr
0.5000 0.5000 0.5000 N
0.0000 0.0000 0.0000 Cl



# 24
Cs2KAlF6 | Alexandria | PBEsol | relaxed; size of the total moment = 0.00 μB per atom; space group = Fm-3m (225); energy = -50.85 eV per formula unit; formation energy without anion corrections = -3.218 eV/atom
1.0
-0.5477 -1.4989 -6.0330
-5.4131 -2.2024 -2.1890
-3.4986 3.5190 -3.7842
Cs K Al F
2 1 1 6
Direct
0.2500 0.2500 0.2500 Cs
0.7500 0.7500 0.7500 Cs
0.5000 0.5000 0.5000 K
0.0000 0.0000 0.0000 Al
0.2076 0.7924 0.7924 F
0.2076 0.7924 0.2076 F
0.7924 0.2076 0.7924 F
0.7924 0.2076 0.2076 F
0.7924 0.7924 0.2076 F
0.2076 0.2076 0.7924 F



# 25
YBe2Co | Alexandria | PBEsol | relaxed; size of the total moment = 0.00 μB per atom; space group = Fm-3m (225); energy = -21.91 eV per formula unit; energy of formation from the pure elements = 0.16 eV/atom
1.0
-2.1867 -1.5086 3.2586
-3.6656 -1.9530 -0.6518
-0.3031 -4.1521 0.5866
Y Be Co
1 2 1
Direct
0.5000 0.5000 0.5000 Y
0.7500 0.7500 0.7500 Be
0.2500 0.2500 0.2500 Be
0.0000 0.0000 0.0000 Co